1.
The following is a PBE calculation of a relaxed LiGa4Ni2Ir crystal, from Alexandria via LeMat-Bulk.

a b c (Å): 4.2414 4.2414 7.2892
angles (deg): 73.09 73.09 60.00
Element x y z (fractional)
Ir 0.5000 0.5000 0.5000
Li 0.0000 0.0000 0.0000
Ni 0.2521 0.2521 0.2437
Ga 0.1254 0.1254 0.6237
Ni 0.7479 0.7479 0.7563
Ga 0.3730 0.3730 0.8809
Ga 0.6270 0.6270 0.1191
Ga 0.8746 0.8746 0.3763

Calculated values
E   -37.22 eV for the cell shown
Space group   R-3m, No. 166
Calculated formation energy   -0.35 eV per atom

***

2.
The following is a PBE calculation of a relaxed BeFeCoW crystal, from Alexandria via LeMat-Bulk.

a b c (Å): 4.0144 4.0144 4.0144
angles (deg): 60.00 60.00 60.00
Last column: magnetic moment on the atom in μB.
Element x y z (fractional)
Fe 0.5000 0.5000 0.5000  0.47
W 0.2500 0.2500 0.2500  -0.04
Be 0.7500 0.7500 0.7500  -0.01
Co 0.0000 0.0000 0.0000  0.58

Calculated values
E   -32.46 eV for the cell shown
Space group   F-43m, No. 216
Calculated formation energy   -0.05 eV per atom

***

3.
The following is a PBE calculation of a relaxed Zn2BiH2 crystal, from Alexandria via LeMat-Bulk.

a b c (Å): 3.4104 3.4104 6.7221
angles (deg): 75.31 75.31 90.00
Element x y z (fractional)
Zn 0.6707 0.6707 0.6587
Zn 0.3293 0.3293 0.3413
H 0.2500 0.7500 0.5000
Bi 0.0000 0.0000 0.0000
H 0.7500 0.2500 0.5000

Calculated values
E   -11.43 eV for the cell shown
Space group   I4/mmm, No. 139

***

4.
The following is a PBE calculation of a relaxed Ce2MgSi4Ir3 crystal, from Alexandria via LeMat-Bulk.

a b c (Å): 4.1765 4.1765 10.2224
angles (deg): 90.00 90.00 90.00
Element x y z (fractional)
Ce 0.0000 0.5000 0.7600
Si 0.0000 0.0000 0.0000
Si 0.5000 0.0000 0.6448
Ir 0.0000 0.0000 0.5000
Ir 0.0000 0.5000 0.1210
Si 0.5000 0.5000 0.0000
Ce 0.5000 0.0000 0.2400
Mg 0.5000 0.5000 0.5000
Si 0.0000 0.5000 0.3552
Ir 0.5000 0.0000 0.8790

Calculated values
E   -70.44 eV for the cell shown
Space group   P-4m2, No. 115
Energy relative to the elements, uncorrected   -870 meV per atom

***

5.
The following is a PBE calculation of a relaxed NdSc2In3Te6 crystal, from Alexandria via LeMat-Bulk.

a b c (Å): 7.5002 7.5002 8.4113
angles (deg): 98.56 98.56 119.86
Element x y z (fractional)
Te 0.4252 0.0726 0.2174
In 0.1593 0.8407 0.5000
Te 0.0726 0.4252 0.2174
Te 0.5748 0.9274 0.7826
Te 0.7166 0.7166 0.2103
Sc 0.6678 0.3322 0.0000
Te 0.9274 0.5748 0.7826
In 0.8407 0.1593 0.5000
Sc 0.3322 0.6678 0.0000
Nd 0.0000 0.0000 0.0000
Te 0.2834 0.2834 0.7897
In 0.5000 0.5000 0.5000

Calculated values
E   -55.16 eV for the cell shown
Space group   C2/m, No. 12
Energy relative to the elements, uncorrected   -888 meV per atom

***

6.
The following is a PBE calculation of a relaxed TmAgRhAu crystal, from Alexandria via LeMat-Bulk.

a b c (Å): 4.7271 4.7271 4.7271
angles (deg): 60.00 60.00 60.00
Element x y z (fractional)
Au 0.5000 0.5000 0.5000
Rh 0.0000 0.0000 0.0000
Ag 0.2500 0.2500 0.2500
Tm 0.7500 0.7500 0.7500

Calculated values
E   -19.82 eV for the cell shown
Space group   F-43m, No. 216
Polymorph energy (0 for the lowest one)   0.136 eV per atom
Calculated formation energy   -0.47 eV per atom

***

7.
The following is a PBE calculation of a relaxed Cs4TlSbCl12 crystal, from Alexandria via LeMat-Bulk.

a b c (Å): 13.1544 13.1544 13.1544
angles (deg): 131.09 131.09 71.67
Element x y z (fractional)
Cl 0.8742 0.3742 0.5000
Cs 0.0913 0.1250 0.4663
Sb 0.2500 0.7500 0.5000
Cl 0.0271 0.7492 0.2779
Cl 0.7544 0.9966 0.7579
Cl 0.6130 0.6130 0.0000
Cl 0.1370 0.6370 0.5000
Cl 0.2387 0.9966 0.2421
Cl 0.3630 0.8630 0.5000
Cl 0.2508 0.5286 0.2779
Cl 0.4992 0.7214 0.2221
Cl 0.4992 0.2771 0.7779
Cs 0.6587 0.1250 0.0337
Cs 0.0913 0.6250 0.9663
Cl 0.2786 0.5008 0.7779
Cs 0.8750 0.9087 0.5337
Cl 0.7466 0.4887 0.7421
Cs 0.8750 0.3413 0.9663
Tl 0.7500 0.2500 0.5000
Cl 0.4714 0.7492 0.7221
Cl 0.3870 0.3870 0.0000
Cl 0.7466 0.0044 0.2579
Cl 0.9956 0.2534 0.7421
Cl 0.7229 0.5008 0.2221
Cl 0.2508 0.9729 0.7221
Cl 0.1242 0.1242 0.0000
Cl 0.0034 0.2456 0.2421
Sb 0.5000 0.5000 0.0000
Cl 0.0034 0.7613 0.7579
Cl 0.5113 0.2534 0.2579
Cl 0.8758 0.8758 0.0000
Cs 0.6587 0.6250 0.5337
Cl 0.6258 0.1258 0.5000
Tl 0.0000 0.0000 0.0000
Cs 0.3750 0.9087 0.0337
Cs 0.3750 0.3413 0.4663

Calculated values
E   -112.41 eV for the cell shown
Space group   I4_1/amd, No. 141
Energy relative to the elements, uncorrected   -1341 meV per atom

***

8.
The following is a PBE calculation of a relaxed TlPtW2 crystal, from Alexandria via LeMat-Bulk.

a b c (Å): 5.2980 5.2980 5.2980
angles (deg): 142.24 127.95 66.07
Element x y z (fractional)
W 0.9805 0.9805 0.0000
Pt 0.5053 0.5053 0.0000
W 0.7631 0.2631 0.5000
Tl 0.2510 0.7510 0.5000

Calculated values
E   -32.08 eV for the cell shown
Space group   Imm2, No. 44
Polymorph energy (0 for the lowest one)   0.176 eV per atom
Calculated formation energy   0.56 eV per atom

***

9.
The following is a PBE calculation of a relaxed CaBe2Ga2 crystal, from Alexandria via LeMat-Bulk.

a b c (Å): 3.9506 3.9506 5.8500
angles (deg): 70.27 70.27 90.00
Element x y z (fractional)
Ga 0.7500 0.2500 0.5000
Ca 0.0000 0.0000 0.0000
Be 0.3912 0.3912 0.2176
Ga 0.2500 0.7500 0.5000
Be 0.6088 0.6088 0.7824

Calculated values
E   -16.24 eV for the cell shown
Space group   I4/mmm, No. 139
Polymorph energy (0 for the lowest one)   0.020 eV per atom
Calculated formation energy   -0.15 eV per atom

***

10.
The following is a PBE calculation of a relaxed CeSm6Ho3Er2 crystal, from Alexandria via LeMat-Bulk.

a b c (Å): 6.2006 6.2006 11.8237
angles (deg): 95.02 95.02 120.00
Last column: magnetic moment on the atom in μB.
Element x y z (fractional)
Er 0.6665 0.3335 0.0000  0.07
Sm 0.5853 0.9170 0.7501  0.01
Sm 0.0830 0.4147 0.2499  0.01
Sm 0.9170 0.5853 0.7501  0.01
Ce 0.0000 0.0000 0.0000  0.83
Sm 0.4147 0.0830 0.2499  0.01
Sm 0.7513 0.7513 0.2499  0.01
Er 0.3335 0.6665 0.0000  0.07
Ho 0.5000 0.5000 0.5000  -0.01
Sm 0.2487 0.2487 0.7501  0.01
Ho 0.8327 0.1673 0.5000  -0.01
Ho 0.1673 0.8327 0.5000  -0.01

Calculated values
E   -56.65 eV for the cell shown
Space group   C2/m, No. 12
Calculated formation energy   0.04 eV per atom

***

11.
The following is a PBE calculation of a relaxed PaAsH2 crystal, from Alexandria via LeMat-Bulk.

a b c (Å): 3.8221 3.9878 3.9878
angles (deg): 112.96 90.00 90.00
Element x y z (fractional)
H 0.5000 0.4975 0.1485
H 0.5000 0.8515 0.5025
As 0.0000 0.0382 0.9618
Pa 0.5000 0.3928 0.6072

Calculated values
E   -22.47 eV for the cell shown
Space group   Amm2, No. 38
Polymorph energy (0 for the lowest one)   0.199 eV per atom

***

12.
The following is a PBE calculation of a relaxed TbTh2Rh crystal, from Alexandria via LeMat-Bulk.

a b c (Å): 6.2542 7.1432 10.0722
angles (deg): 90.00 90.00 90.00
Element x y z (fractional)
Th 0.3449 0.1797 0.4406
Rh 0.3853 0.8874 0.2500
Tb 0.3466 0.4603 0.7500
Rh 0.6147 0.1126 0.7500
Rh 0.8853 0.6126 0.7500
Th 0.6551 0.8203 0.9406
Rh 0.1147 0.3874 0.2500
Tb 0.6534 0.5397 0.2500
Th 0.8449 0.3203 0.9406
Th 0.3449 0.1797 0.0594
Th 0.1551 0.6797 0.0594
Th 0.1551 0.6797 0.4406
Th 0.6551 0.8203 0.5594
Tb 0.8466 0.0397 0.2500
Tb 0.1534 0.9603 0.7500
Th 0.8449 0.3203 0.5594

Calculated values
E   -114.68 eV for the cell shown
Space group   Pnma, No. 62
Polymorph energy (0 for the lowest one)   0.004 eV per atom
Calculated formation energy   -0.46 eV per atom

***

13.
The following is a PBE calculation of a relaxed BaLaOs2 crystal, from Alexandria via LeMat-Bulk.

a b c (Å): 5.0283 5.0283 5.0283
angles (deg): 60.00 60.00 60.00
Element x y z (fractional)
La 0.7500 0.7500 0.7500
Os 0.0000 0.0000 0.0000
Os 0.2500 0.2500 0.2500
Ba 0.5000 0.5000 0.5000

Calculated values
E   -25.45 eV for the cell shown
Space group   F-43m, No. 216
Polymorph energy (0 for the lowest one)   0.871 eV per atom
Calculated formation energy   0.97 eV per atom

***

14.
The following is a PBE calculation of a relaxed CuHgTe2 crystal, from Alexandria via LeMat-Bulk.

a b c (Å): 3.1312 3.1312 10.6433
angles (deg): 90.00 90.00 90.00
Element x y z (fractional)
Te 0.5000 0.5000 0.3337
Hg 0.5000 0.5000 0.6828
Cu 0.0000 0.0000 0.5094
Te 0.0000 0.0000 0.9740

Calculated values
E   -9.80 eV for the cell shown
Space group   P4mm, No. 99
Energy relative to the elements, uncorrected   219 meV per atom

***

15.
The following is a PBE calculation of a relaxed Ce2SmHg8 crystal, from Alexandria via LeMat-Bulk.

a b c (Å): 5.1249 7.3501 8.4482
angles (deg): 109.42 107.66 90.00
Last column: magnetic moment on the atom in μB.
Element x y z (fractional)
Ce 0.2081 0.6514 0.4163  0.96
Hg 0.3313 0.1052 0.6625  0.00
Hg 0.1525 0.1625 0.3049  0.01
Hg 0.8475 0.8375 0.6951  0.01
Hg 0.9825 0.2730 0.9649  0.00
Hg 0.6687 0.8948 0.3375  0.00
Sm 0.5000 0.0000 0.0000  0.00
Hg 0.5939 0.4519 0.1878  0.00
Hg 0.4061 0.5481 0.8122  0.00
Ce 0.7919 0.3486 0.5837  0.96
Hg 0.0175 0.7270 0.0351  0.00

Calculated values
E   -22.28 eV for the cell shown
Space group   C2/m, No. 12
Polymorph energy (0 for the lowest one)   0.000 eV per atom
Calculated formation energy   -0.30 eV per atom

***

16.
The following is a PBE calculation of a relaxed Tb6Dy2YTh crystal, from Alexandria via LeMat-Bulk.

a b c (Å): 9.5290 8.7604 8.7604
angles (deg): 116.76 93.58 93.58
Element x y z (fractional)
Tb 0.6172 0.4850 0.7071
Y 0.2500 0.4077 0.5923
Tb 0.1172 0.7071 0.4850
Th 0.2500 0.9695 0.0305
Th 0.7500 0.0305 0.9695
Tb 0.4420 0.2405 0.8839
Tb 0.8173 0.4287 0.9833
Dy 0.4496 0.7991 0.7019
Tb 0.6827 0.0167 0.5713
Tb 0.3173 0.9833 0.4287
Tb 0.0580 0.1161 0.7595
Dy 0.9496 0.7019 0.7991
Tb 0.1827 0.5713 0.0167
Tb 0.5580 0.7595 0.1161
Tb 0.9420 0.8839 0.2405
Tb 0.8828 0.2929 0.5150
Dy 0.0504 0.2981 0.2009
Dy 0.5504 0.2009 0.2981
Y 0.7500 0.5923 0.4077
Tb 0.3828 0.5150 0.2929

Calculated values
E   -98.78 eV for the cell shown
Space group   C2/c, No. 15
Calculated formation energy   0.15 eV per atom

***

17.
The following is a PBE calculation of a relaxed La6GeS5 crystal, from Alexandria via LeMat-Bulk.

a b c (Å): 7.3007 7.2867 7.2866
angles (deg): 60.00 80.44 70.60
Element x y z (fractional)
Ge 0.0000 0.0000 0.0000
La 0.7482 0.0839 0.3355
La 0.7493 0.7475 0.0000
La 0.7482 0.4194 0.6645
S 0.0000 0.6672 0.6655
S 0.5000 0.1648 0.6705
S 0.5000 0.8352 0.3295
S 0.0000 0.3328 0.3345
La 0.2518 0.9161 0.6645
La 0.2518 0.5806 0.3355
La 0.2507 0.2525 0.0000
S 0.5000 0.5000 0.0000

Calculated values
E   -78.42 eV for the cell shown
Space group   C2/m, No. 12
Energy relative to the elements, uncorrected   -1967 meV per atom

***

18.
The following is a PBE calculation of a relaxed K4Np3Se8 crystal, from Alexandria via LeMat-Bulk.

a b c (Å): 8.5724 8.5724 9.5497
angles (deg): 63.33 63.33 60.00
Last column: magnetic moment on the atom in μB.
Element x y z (fractional)
Se 0.2519 0.2519 0.6923  -0.13
Se 0.7730 0.7730 0.6809  -0.11
K 0.3564 0.3564 0.9307  0.00
Se 0.7481 0.1961 0.3077  -0.13
Se 0.2519 0.8039 0.6923  -0.13
K 0.6436 0.6436 0.0693  0.00
Se 0.1961 0.7481 0.3077  -0.13
Np 0.0000 0.0000 0.5000  3.41
Np 0.5000 0.0000 0.5000  3.41
Se 0.8039 0.2519 0.6923  -0.13
Se 0.7481 0.7481 0.3077  -0.13
Se 0.2270 0.2270 0.3191  -0.11
Np 0.0000 0.5000 0.5000  3.41
K 0.0000 0.0000 0.0000  0.00
K 0.5000 0.5000 0.5000  0.00

Calculated values
E   -88.61 eV for the cell shown
Space group   R-3m, No. 166
Energy relative to the elements, uncorrected   -1168 meV per atom

***

19.
The following is a PBE calculation of a relaxed Ca6CdPd2 crystal, from Alexandria via LeMat-Bulk.

a b c (Å): 8.9112 8.9112 8.9112
angles (deg): 102.84 111.96 113.82
Element x y z (fractional)
Pd 0.5000 0.6298 0.1298
Ca 0.1127 0.2915 0.8213
Pd 0.5000 0.3702 0.8702
Ca 0.6829 0.3436 0.6608
Pd 0.6883 0.0000 0.6883
Ca 0.6829 0.0221 0.3392
Ca 0.3171 0.9779 0.6608
Ca 0.1968 0.7572 0.9540
Ca 0.8873 0.7085 0.1787
Cd 0.0000 0.5000 0.5000
Ca 0.4702 0.2915 0.1787
Ca 0.1968 0.2428 0.4396
Ca 0.8032 0.2428 0.0460
Ca 0.3171 0.6564 0.3392
Ca 0.8032 0.7572 0.5604
Ca 0.5298 0.7085 0.8213
Cd 0.0000 0.0000 0.0000
Pd 0.3117 0.0000 0.3117

Calculated values
E   -54.71 eV for the cell shown
Space group   Immm, No. 71
Calculated formation energy   -0.45 eV per atom

***

20.
The following is a PBE calculation of a relaxed LaNd2H crystal, from Alexandria via LeMat-Bulk.

a b c (Å): 3.7261 3.7261 9.2390
angles (deg): 78.37 78.37 60.00
Element x y z (fractional)
Nd 0.0530 0.0530 0.8411
H 0.6664 0.6664 0.0007
Nd 0.2796 0.2796 0.1611
La 0.5010 0.5010 0.4971

Calculated values
E   -18.42 eV for the cell shown
Space group   R3m, No. 160
Polymorph energy (0 for the lowest one)   0.012 eV per atom